# 1
Below is Zn2PtAu after structural relaxation, with properties calculated at the PBE-GGA level.

a b c (Å): 4.579 2.926 5.060
angles (deg): 90.00 111.59 90.00
Space group P2/m (No. 10)
Unique sites:
1 Zn 0.000 0.000 0.000 [1 per cell]
2 Zn 0.000 0.500 0.500 [1 per cell]
3 Pt 0.500 0.000 0.500 [1 per cell]
4 Au 0.500 0.500 0.000 [1 per cell]

Values from the calculation:
calculated formation energy	-273	meV/atom
raw total energy	-3.239	eV per atom
DOS at the Fermi energy	0.429	states/eV per atom

# 2
Below is Ga2As2Cl7 after structural relaxation, with properties calculated at the PBE-GGA level.

a b c (Å): 12.810 7.346 10.537
angles (deg): 90.00 122.27 90.00
Space group Cm (No. 8)
Unique sites:
1 Ga 0.000 0.000 0.000 [2 per cell]
2 Ga 0.020 0.000 0.638 [2 per cell]
3 As 0.438 0.151 0.327 [4 per cell]
4 Cl 0.064 0.248 0.134 [4 per cell]
5 Cl 0.128 0.000 0.895 [2 per cell]
6 Cl 0.155 0.000 0.577 [2 per cell]
7 Cl 0.312 0.500 0.814 [2 per cell]
8 Cl 0.404 0.252 0.559 [4 per cell]

Values from the calculation:
raw total energy	-3.279	eV per atom
formation energy (no corrections)	-709	meV per atom
DOS at the Fermi energy	0.016	states/eV per atom